## TcTeAu (GGA-PBE)

Data for a geometry-optimized TcTeAu structure.

Lattice parameters (Å, degrees): 6.0009 6.0009 7.0384 109.78 109.78 31.90
Sites, in units of the cell vectors:
Tc (0.1356, 0.1356, 0.4657)
Tc (0.8644, 0.8644, 0.5343)
Te (0.3270, 0.3270, 0.7990)
Te (0.6730, 0.6730, 0.2010)
Au (0.4279, 0.4279, 0.2564)
Au (0.5721, 0.5721, 0.7436)

Summary:
* offset from the most stable computed form: 0.000 eV/f.u.
* E_form (uncorrected): 0.4 eV/f.u.
* symmetry: C2/m
* DOS(E_F): 0.32 states/eV per atom